Below is a geometry-optimized Ho4FePt structure, with properties calculated at the PBE-GGA level.

abc: 7.7742 7.7742 6.1616
angles: 107.93 107.93 110.88
With the nearest neighbours (Å) after each atom.
Positions (direct):
Ho (0.0516, 0.7027, 0.9069)  2 Fe 2.84-2.89, 2 Pt 2.96-3.00
Ho (0.2298, 0.3555, 0.7158)  2 Fe 2.75-2.81, 1 Pt 2.92
Ho (0.2973, 0.9484, 0.5931)  2 Fe 2.84-2.89, 2 Pt 2.96-3.00
Ho (0.3555, 0.2298, 0.2158)  2 Fe 2.75-2.81, 1 Pt 2.92
Ho (0.6445, 0.7702, 0.7842)  2 Fe 2.75-2.81, 1 Pt 2.92
Ho (0.7027, 0.0516, 0.4069)  2 Fe 2.84-2.89, 2 Pt 2.96-3.00
Ho (0.7702, 0.6445, 0.2842)  2 Fe 2.75-2.81, 1 Pt 2.92
Ho (0.9484, 0.2973, 0.0931)  2 Fe 2.84-2.89, 2 Pt 2.96-3.00
Fe (0.0019, 0.9981, 0.2500)  8 Ho 2.75-2.89
Fe (0.9981, 0.0019, 0.7500)  8 Ho 2.75-2.89
Pt (0.3636, 0.6364, 0.2500)  8 Ho 2.92-3.08
Pt (0.6364, 0.3636, 0.7500)  8 Ho 2.92-3.08

Results
Space group: No. 15
ΔH_f (0 K), meV per atom: -461

***

Below is a geometry-optimized BaAlZn2Si structure, with properties calculated at the PBE-GGA level.

abc: 6.3863 6.3863 6.3863
angles: 139.99 139.18 58.49
With the nearest neighbours (Å) after each atom.
Positions (direct):
Ba (0.0000, 0.0000, 0.0000)  4 Si 3.38, 8 Zn 3.39-3.58, 4 Al 3.54-3.56
Al (0.2503, 0.7503, 0.5000)  2 Si 2.64, 2 Zn 2.67
Zn (0.6185, 0.6185, 0.0000)  1 Si 2.62, 2 Zn 2.64, 2 Al 2.67
Zn (0.7510, 0.2510, 0.5000)  2 Zn 2.64, 2 Si 2.67
Si (0.3836, 0.3836, 0.0000)  3 Zn 2.62-2.67, 2 Al 2.64

Results
Space group: No. 44
Formation energy (no corrections), meV per atom: -272

***

Below is a geometry-optimized HoTmCdIr structure, with properties calculated at the PBE-GGA level.

abc: 4.9900 4.9900 4.9900
angles: 60.00 60.00 60.00
With the nearest neighbours (Å) after each atom.
Positions (direct):
Ho (0.0000, 0.0000, 0.0000)  4 Cd 3.06, 4 Ir 3.06
Tm (0.5000, 0.5000, 0.5000)  4 Cd 3.06, 4 Ir 3.06
Cd (0.2500, 0.2500, 0.2500)  4 Ho 3.06, 4 Tm 3.06
Ir (0.7500, 0.7500, 0.7500)  4 Ho 3.06, 4 Tm 3.06

Results
Space group: No. 216
ΔH_f (0 K), meV per atom: -582

***

Number 1: M_tot 0.0 μB/f.u., final energy -5.930 eV/atom. Number 2: M_tot 0.0 μB/f.u., final energy -2.999 eV/atom. Number 3: M_tot 0.0 μB/f.u., final energy -5.288 eV/atom.